A plane-wave DFT calculation with PBE-GGA was carried out for NaHf2Pd9 after structural relaxation.

Lattice parameters (Å, degrees): 4.026 4.026 12.036 90.00 90.00 90.00
Element x y z (fractional)
1 Na 0.000 0.000 0.000
2 Hf 0.000 0.000 0.330
3 Hf 0.000 0.000 0.670
4 Pd 0.000 0.500 0.173
5 Pd 0.000 0.500 0.500
6 Pd 0.000 0.500 0.827
7 Pd 0.500 0.000 0.173
8 Pd 0.500 0.000 0.500
9 Pd 0.500 0.000 0.827
10 Pd 0.500 0.500 0.000
11 Pd 0.500 0.500 0.337
12 Pd 0.500 0.500 0.663

N(E_F) ... 10.4 states/eV per cell
VASP energy ... -75.29 eV per cell
Symmetry ... P4/mmm (123)
Crystal system ... tetragonal